A PBEsol-optimized structure of Li2La2P, computed with meta-GGA SCAN.

Lattice parameters (Å, degrees): 6.561 6.561 4.812 90.00 90.00 90.00
Fractional coordinates of all 10 atoms:
Li (0.145, 0.355, 0.000)
Li (0.355, 0.855, 0.000)
Li (0.645, 0.145, 0.000)
Li (0.855, 0.645, 0.000)
La (0.175, 0.675, 0.500)
La (0.325, 0.175, 0.500)
La (0.675, 0.825, 0.500)
La (0.825, 0.325, 0.500)
P (0.000, 0.000, 0.000)
P (0.500, 0.500, 0.000)

Density   5173 kg/m3
Energy of formation from the pure elements   -0.44 eV per atom
Spin magnetization   0.00 μB per cell
DFT total energy   -20.720 eV/atom